(1)
AcPaBr2F6 | PBE-GGA | relaxed

POSCAR file:
```
AcPaBr2F6
1.0
6.5872 -0.0005 0.0069
0.0002 6.5995 -0.0009
3.2985 3.2988 4.6653
Ac Pa Br F
1 1 2 6
Direct
0.0000 0.0000 0.0000
0.5000 0.5000 0.0000
0.2502 0.7500 0.4999
0.7498 0.2500 0.5001
0.2704 0.7295 0.0000
0.7296 0.7296 0.9999
0.2704 0.2704 0.4591
0.7296 0.2705 0.0000
0.2704 0.2704 0.0001
0.7296 0.7296 0.5409
```

Mass density = 6.0 g cm⁻³
Magnetization = 0.00 μB per formula unit
Calculated volume = 202.7 Å³/cell
Formation energy without anion corrections = -3.268 eV per atom


(2)
UH2I8 | PBE-GGA | relaxed

POSCAR file:
```
UH2I8
1.0
-4.5116 5.1877 -1.7999
-5.8846 -5.8247 -2.6904
-4.9256 -1.6317 6.9907
U H I
1 2 8
Direct
0.0000 0.0000 0.0000
0.2682 0.7290 0.7290
0.7318 0.2710 0.2710
0.7704 0.8987 0.2824
0.2296 0.7176 0.1013
0.7605 0.8356 0.8356
0.2395 0.1644 0.1644
0.7704 0.2824 0.8987
0.2296 0.1013 0.7176
0.2965 0.6112 0.6112
0.7035 0.3888 0.3888
```

Mass density = 4.0 g cm⁻³
VASP energy = -3.1569 eV per atom
Magnetization = 0.00 μB per formula unit
Calculated volume = 520.0 Å³/cell


(3)
Ir2Ru3Rh | PBE-GGA | relaxed

POSCAR file:
```
Ir2Ru3Rh
1.0
-0.2512 -4.3098 1.8658
4.5070 1.2910 -0.3715
-2.4375 4.7542 6.7176
Ir Ru Rh
4 6 2
Direct
0.0409 0.2910 0.0821
0.7090 0.9591 0.4179
0.9591 0.7090 0.9179
0.2910 0.0409 0.5821
0.2081 0.4577 0.4161
0.5423 0.7919 0.0839
0.7919 0.5423 0.5839
0.4577 0.2081 0.9161
0.6247 0.3753 0.2500
0.3753 0.6247 0.7500
0.1252 0.8748 0.2500
0.8748 0.1252 0.7500
```

Mass density = 15.5 g cm⁻³
Magnetization = 0.00 μB per formula unit
Calculated volume = 169.8 Å³/cell
Density of states at the Fermi level = 14.139 states/eV per cell
Energy of formation from the pure elements = 0.005 eV/atom


(4)
Cs2Ca3TbCl12 | PBE-GGA | relaxed

POSCAR file:
```
Cs2Ca3TbCl12
1.0
-3.5705 7.1635 -6.0505
-6.9726 -1.9615 -6.9432
-9.3943 3.4187 0.8558
Cs Ca Tb Cl
2 3 1 12
Direct
0.6025 0.6025 0.6025
0.3975 0.3975 0.3975
0.5000 0.0000 0.0000
0.0000 0.5000 0.0000
0.0000 0.0000 0.5000
0.0000 0.0000 0.0000
0.3372 0.3372 0.9140
0.9270 0.9270 0.3209
0.3209 0.9270 0.9270
0.9140 0.3372 0.3372
0.9270 0.3209 0.9270
0.3372 0.9140 0.3372
0.6628 0.6628 0.0860
0.0730 0.0730 0.6791
0.6791 0.0730 0.0730
0.0860 0.6628 0.6628
0.0730 0.6791 0.0730
0.6628 0.0860 0.6628
```

Mass density = 2.3 g cm⁻³
Magnetization = 1.00 μB per formula unit
Calculated volume = 687.0 Å³/cell
Density of states at the Fermi level = 16.725 states/eV per cell
Formation energy without anion corrections = -2.084 eV per atom


(5)
CsSiHgP2 | PBE-GGA | relaxed

POSCAR file:
```
CsSiHgP2
1.0
6.0704 0.0000 0.0000
-3.0352 6.9950 0.0000
0.0000 0.0000 6.9709
Cs Si Hg P
2 2 2 4
Direct
0.7500 0.5000 0.7573
0.2500 0.5000 0.2427
0.7500 0.0000 0.0000
0.2500 0.0000 0.0000
0.0000 0.0000 0.5000
0.5000 0.0000 0.5000
0.9142 0.8285 0.1784
0.5858 0.1715 0.1784
0.4142 0.8285 0.8216
0.0858 0.1715 0.8216
```

Mass density = 4.8 g cm⁻³
Magnetization = 0.00 μB per formula unit
Calculated volume = 296.0 Å³/cell
Density of states at the Fermi level = 4.515 states/eV per cell
Formation energy without anion corrections = -0.211 eV per atom


(6)
YZnPd | PBE-GGA | relaxed

POSCAR file:
```
YZnPd
1.0
-1.8315 -0.8012 2.3810
-0.4228 -2.8062 -1.2696
6.7626 -0.6352 2.9585
Y Zn Pd
1 1 1
Direct
0.9412 0.9412 0.8824
0.1564 0.1564 0.3127
0.7525 0.7525 0.5049
```

Mass density = 6.3 g cm⁻³
Magnetization = 0.11 μB per formula unit
Calculated volume = 68.4 Å³/cell
Density of states at the Fermi level = 1.835 states/eV per cell
Energy of formation from the pure elements = 0.097 eV/atom


(7)
Tm8FeNi2 | PBE-GGA | relaxed

POSCAR file:
```
Tm8FeNi2
1.0
-5.3798 2.2381 -0.5467
-0.7859 -6.3078 -3.6240
0.3698 -0.8724 7.2554
Ni Tm Fe
2 8 1
Direct
0.4820 0.6944 0.3182
0.4820 0.3182 0.6944
0.5771 0.3421 0.0834
0.5771 0.0834 0.3421
0.1684 0.3553 0.3553
0.9910 0.2084 0.7914
0.9910 0.7914 0.2084
0.8102 0.6466 0.6466
0.3799 0.9269 0.6700
0.3799 0.6700 0.9269
0.1610 0.9973 0.9973
```

Mass density = 9.3 g cm⁻³
Magnetization = 0.00 μB per formula unit
Calculated volume = 271.3 Å³/cell
Density of states at the Fermi level = 11.902 states/eV per cell
Energy of formation from the pure elements = -0.073 eV/atom
Relative energy among the computed polymorphs = 87 meV per atom


(8)
Nb2NiIrN | PBE-GGA | relaxed

POSCAR file:
```
Nb2NiIrN
1.0
-1.4479 0.2050 -3.9816
0.1240 -4.2317 -0.2630
-3.5588 -0.1842 1.2847
Ni Nb Ir N
1 2 1 1
Direct
0.0000 0.0000 0.5000
0.0000 0.5000 0.0000
0.5000 0.0000 0.0000
0.5000 0.5000 0.5000
0.0000 0.0000 0.0000
```

Mass density = 11.0 g cm⁻³
Magnetization = 0.00 μB per formula unit
Calculated volume = 68.2 Å³/cell
Density of states at the Fermi level = 3.081 states/eV per cell
Formation energy without anion corrections = -0.523 eV per atom


What did the fifth record say?
CsSiHgP2 | PBE-GGA | relaxed

POSCAR file:
```
CsSiHgP2
1.0
6.0704 0.0000 0.0000
-3.0352 6.9950 0.0000
0.0000 0.0000 6.9709
Cs Si Hg P
2 2 2 4
Direct
0.7500 0.5000 0.7573
0.2500 0.5000 0.2427
0.7500 0.0000 0.0000
0.2500 0.0000 0.0000
0.0000 0.0000 0.5000
0.5000 0.0000 0.5000
0.9142 0.8285 0.1784
0.5858 0.1715 0.1784
0.4142 0.8285 0.8216
0.0858 0.1715 0.8216
```

Mass density = 4.8 g cm⁻³
Magnetization = 0.00 μB per formula unit
Calculated volume = 296.0 Å³/cell
Density of states at the Fermi level = 4.515 states/eV per cell
Formation energy without anion corrections = -0.211 eV per atom